{
  "formula": "Tb3Sm5Er2",
  "functional": "PBE-GGA",
  "state": "optimized geometry",
  "volume_a3_per_cell": 700,
  "m_tot_mub_per_fu": 0.0,
  "final_energy_ev_per_atom": -4.276,
  "delta_e_f_mev_per_atom": 386,
  "de_polymorph_ev_per_atom": 0.194,
  "lattice": [[10.948, 0.000, 0.000], [5.474, 8.262, 0.399], [5.474, 2.577, 7.860]],
  "species": ["Sm", "Sm", "Sm", "Sm", "Sm", "Sm", "Sm", "Sm", "Sm", "Sm", "Er", "Er", "Er", "Er", "Tb", "Tb", "Tb", "Tb", "Tb", "Tb"],
  "frac_coords": [[0.001, 0.249, 0.249], [0.999, 0.751, 0.751], [0.499, 0.751, 0.751], [0.874, 0.523, 0.728], [0.250, 0.500, 0.500], [0.501, 0.249, 0.249], [0.750, 0.500, 0.500], [0.374, 0.728, 0.523], [0.626, 0.272, 0.477], [0.126, 0.477, 0.272], [0.878, 0.208, 0.037], [0.622, 0.963, 0.792], [0.122, 0.792, 0.963], [0.378, 0.037, 0.208], [0.250, 0.000, 0.000], [0.875, 0.873, 0.377], [0.375, 0.377, 0.873], [0.750, 0.000, 0.000], [0.625, 0.623, 0.127], [0.125, 0.127, 0.623]]
}